Sc2CoOs | the Open Quantum Materials Database | PBE | optimized geometry; space group = F-43m (216); ΔH_f (0 K) = -0.0214 eV/atom
1.0
2.7569 -0.3806 3.5074
0.9418 3.5882 2.5070
-1.6181 0.3094 4.1633
Co Os Sc
1 1 2
Direct
0.2500 0.2500 0.2500
0.5000 0.5000 0.5000
0.0000 0.0000 0.0000
0.7500 0.7500 0.7500

---

ScCo2Os | the Open Quantum Materials Database | PBE | optimized geometry; space group = F-43m (216); ΔH_f (0 K) = 0.1015 eV/atom
1.0
-0.4875 -3.6383 -2.2294
0.0409 -3.7844 2.0303
-3.6225 -2.2770 0.3713
Co Os Sc
2 1 1
Direct
0.5000 0.5000 0.5000
0.7500 0.7500 0.7500
0.2500 0.2500 0.2500
0.0000 0.0000 0.0000

---

ScCoOs | the Open Quantum Materials Database | PBE | optimized geometry; space group = F-43m (216); ΔH_f (0 K) = 0.9765 eV/atom
1.0
-2.5260 -0.6751 3.2887
-3.9804 -1.1939 -0.6186
-1.1939 -3.9111 0.9638
Co Os Sc
1 1 1
Direct
0.2500 0.2500 0.2500
0.7500 0.7500 0.7500
0.0000 0.0000 0.0000

---

Sc2CoOs | the Open Quantum Materials Database | PBE | optimized geometry; space group = P4/mmm (123); ΔH_f (0 K) = -0.3573 eV/atom
1.0
-3.1071 0.4205 -0.4473
-0.0888 -2.5912 -1.8191
-1.2134 -3.5399 5.1014
Co Os Sc
1 1 2
Direct
0.0000 0.0000 0.5000
0.0000 0.0000 0.0000
0.5000 0.5000 0.2538
0.5000 0.5000 0.7462

---

Sc2CoOs | the Open Quantum Materials Database | PBE | optimized geometry; space group = Pnma (62); ΔH_f (0 K) = -0.3036 eV/atom
1.0
-3.7741 -4.8895 2.0627
6.5498 -4.0501 2.3838
-0.3216 2.1921 4.6080
Co Os Sc
4 4 8
Direct
0.7496 0.2500 0.0018
0.2496 0.7500 0.4982
0.7504 0.2500 0.5018
0.2504 0.7500 0.9982
0.9291 0.7500 0.2479
0.4291 0.2500 0.2521
0.5709 0.7500 0.7479
0.0709 0.2500 0.7521
0.5884 0.5652 0.2495
0.5884 0.9348 0.2495
0.0884 0.0652 0.2505
0.0884 0.4348 0.2505
0.9116 0.5652 0.7495
0.9116 0.9348 0.7495
0.4116 0.0652 0.7505
0.4116 0.4348 0.7505

---

ScCoSiOs | the Open Quantum Materials Database | PBE | optimized geometry; space group = F-43m (216); electronic total energy = -31.97 eV for the cell shown
1.0
0.0000 3.0079 3.0079
3.0079 0.0000 3.0079
3.0079 3.0079 0.0000
Co Os Sc Si
1 1 1 1
Direct
0.7500 0.7500 0.7500
0.2500 0.2500 0.2500
0.5000 0.5000 0.5000
0.0000 0.0000 0.0000